Computed, not measured: an optimized crystal structure of BaLiAu2 at the PBE-GGA level of DFT.

The structure belongs to space group I-4m2 (No. 119); the cell edges are 4.5859, 4.5859 and 9.5681 Å and the angles 90.00°, 90.00° and 90.00°. Symmetry generates all atoms from Ba at (0.0000, 0.0000, 0.0000), Li at (0.0000, 0.5000, 0.7500), Au at (0.0000, 0.0000, 0.5000) and Au at (0.0000, 0.5000, 0.2500).

The calculation puts the calculated total energy at -3.006 eV per atom. Its density of states at the Fermi level is 0.545 states/eV per atom. The value obtained for the formation energy from the elements is -408 meV per atom.

Computed, not measured: an optimized crystal structure of BaLi2Au at the PBE-GGA level of DFT.

The structure belongs to space group C2/m (No. 12); the cell edges are 8.9318, 4.2161 and 5.8433 Å and the angles 90.00°, 104.67° and 90.00°. Symmetry generates all atoms from Ba at (0.0000, 0.0000, 0.0000), Li at (0.1965, 0.0000, 0.5892) and Au at (0.0000, 0.5000, 0.5000).

The calculation puts the calculated total energy at -2.592 eV per atom. Its density of states at the Fermi level is 0.569 states/eV per atom. The value obtained for the formation energy from the elements is -335 meV per atom.

Computed, not measured: an optimized crystal structure of BaLi2Au at the PBE-GGA level of DFT.

The structure belongs to space group R-3m (No. 166, hexagonal axes); the cell edges are 4.6140, 4.6140 and 17.5773 Å and the angles 90.00°, 90.00° and 120.00°. Symmetry generates all atoms from Ba at (0.0000, 0.0000, 0.0000), Li at (0.0000, 0.0000, 0.1936) and Au at (0.0000, 0.0000, 0.5000).

The calculation puts the calculated total energy at -2.573 eV per atom. Its density of states at the Fermi level is 0.914 states/eV per atom. The value obtained for the formation energy from the elements is -317 meV per atom.

Computed, not measured: an optimized crystal structure of Ba2LiAu4 at the PBE-GGA level of DFT.

The structure belongs to space group I4/mmm (No. 139); the cell edges are 4.9487, 4.9487 and 16.5260 Å and the angles 90.00°, 90.00° and 90.00°. Symmetry generates all atoms from Ba at (0.0000, 0.0000, 0.1424), Li at (0.0000, 0.0000, 0.5000), Au at (0.0000, 0.0000, 0.3453) and Au at (0.0000, 0.5000, 0.0000).

The calculation puts the calculated total energy at -3.274 eV per atom. Its density of states at the Fermi level is 0.357 states/eV per atom. The value obtained for the formation energy from the elements is -578 meV per atom.

Computed, not measured: an optimized crystal structure of BaLiAu2 at the PBE-GGA level of DFT.

The structure belongs to space group P4/mmm (No. 123); the cell edges are 5.2119, 5.2119 and 3.9432 Å and the angles 90.00°, 90.00° and 90.00°. Symmetry generates all atoms from Ba at (0.0000, 0.0000, 0.0000), Li at (0.5000, 0.5000, 0.0000) and Au at (0.0000, 0.5000, 0.5000).

The calculation puts the calculated total energy at -3.057 eV per atom. Its density of states at the Fermi level is 0.429 states/eV per atom. The value obtained for the formation energy from the elements is -459 meV per atom.

Computed, not measured: an optimized crystal structure of BaLiAu2 at the PBE-GGA level of DFT.

The structure belongs to space group Pm (No. 6); the cell edges are 4.5524, 4.8784 and 5.1979 Å and the angles 90.00°, 90.41° and 90.00°. Symmetry generates all atoms from Ba at (0.0000, 0.0000, 0.0000), Li at (0.5073, 0.5000, 0.3465), Au at (0.4980, 0.0000, 0.5191) and Au at (0.4978, 0.5000, 0.8495).

The calculation puts the calculated total energy at -3.159 eV per atom. Its density of states at the Fermi level is 0.274 states/eV per atom. The value obtained for the formation energy from the elements is -561 meV per atom.

Computed, not measured: an optimized crystal structure of Ba4LiAu at the PBE-GGA level of DFT.

The structure belongs to space group I4/mcm (No. 140); the cell edges are 8.2222, 8.2222 and 15.9578 Å and the angles 90.00°, 90.00° and 90.00°. Symmetry generates all atoms from Ba at (0.1857, 0.3143, 0.1192), Li at (0.0000, 0.0000, 0.2500) and Au at (0.0000, 0.0000, 0.0000).

The calculation puts the calculated total energy at -2.323 eV per atom. Its density of states at the Fermi level is 1.009 states/eV per atom. The value obtained for the formation energy from the elements is -176 meV per atom.

Computed, not measured: an optimized crystal structure of BaLi6Au12 at the PBE-GGA level of DFT.

The structure belongs to space group R-3m (No. 166, hexagonal axes); the cell edges are 11.7151, 11.7151 and 8.8657 Å and the angles 90.00°, 90.00° and 120.00°. Symmetry generates all atoms from Ba at (0.0000, 0.0000, 0.0000), Li at (0.0461, 0.5230, 0.2518), Au at (0.0000, 0.3801, 0.5000) and Au at (0.0848, 0.1696, 0.3201).

The calculation puts the calculated total energy at -3.156 eV per atom. Its density of states at the Fermi level is 0.239 states/eV per atom. The value obtained for the formation energy from the elements is -380 meV per atom.

Computed, not measured: an optimized crystal structure of BaLi2Au at the PBE-GGA level of DFT.

The structure belongs to space group Pmmm (No. 47); the cell edges are 4.5504, 4.5743 and 5.4970 Å and the angles 90.00°, 90.00° and 90.00°. Symmetry generates all atoms from Ba at (0.0000, 0.0000, 0.0000), Li at (0.0000, 0.5000, 0.5000), Li at (0.5000, 0.0000, 0.5000) and Au at (0.5000, 0.5000, 0.0000).

The calculation puts the calculated total energy at -2.468 eV per atom. Its density of states at the Fermi level is 0.382 states/eV per atom. The value obtained for the formation energy from the elements is -211 meV per atom.

Computed, not measured: an optimized crystal structure of BaLiAu3 at the PBE-GGA level of DFT.

The structure belongs to space group P6_3/mmc (No. 194); the cell edges are 6.8730, 6.8730 and 5.9414 Å and the angles 90.00°, 90.00° and 120.00°. Symmetry generates all atoms from Ba at (0.3333, 0.6667, 0.2500), Li at (0.0000, 0.0000, 0.0000) and Au at (0.1898, 0.3796, 0.7500).

The calculation puts the calculated total energy at -3.297 eV per atom. Its density of states at the Fermi level is 0.221 states/eV per atom. The value obtained for the formation energy from the elements is -563 meV per atom.

Computed, not measured: an optimized crystal structure of BaLiAu3 at the PBE-GGA level of DFT.

The structure belongs to space group Pm-3m (No. 221); the cell edges are 6.1799, 6.1799 and 6.1799 Å and the angles 90.00°, 90.00° and 90.00°. Symmetry generates all atoms from Ba at (0.0000, 0.0000, 0.0000), Li at (0.5000, 0.5000, 0.5000) and Au at (0.0000, 0.0000, 0.5000).

The calculation puts the calculated total energy at -2.507 eV per atom. Its density of states at the Fermi level is 0.000 states/eV per atom. The value obtained for the formation energy from the elements is 227 meV per atom.

Computed, not measured: an optimized crystal structure of BaLi6Au2 at the PBE-GGA level of DFT.

The structure belongs to space group P4/mmm (No. 123); the cell edges are 4.4587, 4.4587 and 9.9214 Å and the angles 90.00°, 90.00° and 90.00°. Symmetry generates all atoms from Ba at (0.0000, 0.0000, 0.0000), Li at (0.0000, 0.0000, 0.5000), Li at (0.0000, 0.5000, 0.3035), Li at (0.5000, 0.5000, 0.5000) and Au at (0.5000, 0.5000, 0.1542).

The calculation puts the calculated total energy at -2.542 eV per atom. Its density of states at the Fermi level is 0.355 states/eV per atom. The value obtained for the formation energy from the elements is -324 meV per atom.

Computed, not measured: an optimized crystal structure of Ba2Li2Au at the PBE-GGA level of DFT.

The structure belongs to space group P4/mbm (No. 127); the cell edges are 7.7006, 7.7006 and 5.2796 Å and the angles 90.00°, 90.00° and 90.00°. Symmetry generates all atoms from Ba at (0.1897, 0.3103, 0.0000), Li at (0.1324, 0.6324, 0.5000) and Au at (0.0000, 0.0000, 0.5000).

The calculation puts the calculated total energy at -2.321 eV per atom. Its density of states at the Fermi level is 0.872 states/eV per atom. The value obtained for the formation energy from the elements is -131 meV per atom.

Computed, not measured: an optimized crystal structure of Ba3Li4Au2 at the PBE-GGA level of DFT.

The structure belongs to space group C2/m (No. 12); the cell edges are 12.1131, 5.0860 and 9.6878 Å and the angles 90.00°, 115.39° and 90.00°. Symmetry generates all atoms from Ba at (0.0000, 0.0000, 0.0000), Ba at (0.1041, 0.5000, 0.3656), Li at (0.1168, 0.0000, 0.6673), Li at (0.2145, 0.5000, 0.0376) and Au at (0.2093, 0.5000, 0.7545).

The calculation puts the calculated total energy at -2.539 eV per atom. Its density of states at the Fermi level is 0.671 states/eV per atom. The value obtained for the formation energy from the elements is -319 meV per atom.

Computed, not measured: an optimized crystal structure of BaLiAu at the PBE-GGA level of DFT.

The structure belongs to space group I4mm (No. 107); the cell edges are 3.8626, 3.8626 and 11.2641 Å and the angles 90.00°, 90.00° and 90.00°. Symmetry generates all atoms from Ba at (0.0000, 0.0000, 0.0000), Li at (0.0000, 0.0000, 0.2744) and Au at (0.0000, 0.0000, 0.6909).

The calculation puts the calculated total energy at -2.763 eV per atom. Its density of states at the Fermi level is 0.605 states/eV per atom. The value obtained for the formation energy from the elements is -392 meV per atom.

Computed, not measured: an optimized crystal structure of Ba3Li3Au8 at the PBE-GGA level of DFT.

The structure belongs to space group Immm (No. 71); the cell edges are 4.6758, 9.9308 and 14.9471 Å and the angles 90.00°, 90.00° and 90.00°. Symmetry generates all atoms from Ba at (0.0000, 0.0000, 0.0000), Ba at (0.0000, 0.0000, 0.2864), Li at (0.0000, 0.2032, 0.5000), Li at (0.0000, 0.5000, 0.0000), Au at (0.0000, 0.2994, 0.1086) and Au at (0.0000, 0.3552, 0.3508).

The calculation puts the calculated total energy at -3.291 eV per atom. Its density of states at the Fermi level is 0.276 states/eV per atom. The value obtained for the formation energy from the elements is -596 meV per atom.

Computed, not measured: an optimized crystal structure of BaLi3Au3 at the PBE-GGA level of DFT.

The structure belongs to space group Pm-3n (No. 223); the cell edges are 7.0194, 7.0194 and 7.0194 Å and the angles 90.00°, 90.00° and 90.00°. Symmetry generates all atoms from Ba at (0.0000, 0.0000, 0.0000), Li at (0.0000, 0.2500, 0.5000) and Au at (0.0000, 0.5000, 0.2500).

The calculation puts the calculated total energy at -2.873 eV per atom. Its density of states at the Fermi level is 0.587 states/eV per atom. The value obtained for the formation energy from the elements is -373 meV per atom.

Computed, not measured: an optimized crystal structure of Ba2Li5Au3 at the PBE-GGA level of DFT.

The structure belongs to space group Cmc2_1 (No. 36); the cell edges are 4.4755, 28.1202 and 8.0344 Å and the angles 90.00°, 90.00° and 90.00°. Symmetry generates all atoms from Ba at (0.0000, 0.0517, 0.0000), Ba at (0.0000, 0.3401, 0.8657), Li at (0.0000, 0.0649, 0.4384), Li at (0.0000, 0.2136, 0.0118), Li at (0.0000, 0.2228, 0.6584), Li at (0.0000, 0.3428, 0.3308), Li at (0.0000, 0.4399, 0.1468), Au at (0.0000, 0.1257, 0.6800), Au at (0.0000, 0.2502, 0.3354) and Au at (0.0000, 0.4711, 0.8197).

The calculation puts the calculated total energy at -2.780 eV per atom. Its density of states at the Fermi level is 0.428 states/eV per atom. The value obtained for the formation energy from the elements is -455 meV per atom.

Computed, not measured: an optimized crystal structure of Ba4LiAu at the PBE-GGA level of DFT.

The structure belongs to space group F-43m (No. 216); the cell edges are 10.4777, 10.4777 and 10.4777 Å and the angles 90.00°, 90.00° and 90.00°. Symmetry generates all atoms from Ba at (0.1241, 0.1241, 0.3759), Li at (0.0000, 0.0000, 0.0000) and Au at (0.2500, 0.2500, 0.7500).

The calculation puts the calculated total energy at -1.722 eV per atom. Its density of states at the Fermi level is 1.786 states/eV per atom. The value obtained for the formation energy from the elements is 425 meV per atom.

Computed, not measured: an optimized crystal structure of BaLiAu2 at the PBE-GGA level of DFT.

The structure belongs to space group Cm (No. 8); the cell edges are 7.9332, 4.5751 and 6.3944 Å and the angles 90.00°, 114.30° and 90.00°. Symmetry generates all atoms from Ba at (0.0000, 0.0000, 0.0000), Li at (0.1885, 0.0000, 0.5619), Au at (0.0396, 0.5000, 0.6162) and Au at (0.3007, 0.5000, 0.3993).

The calculation puts the calculated total energy at -3.162 eV per atom. Its density of states at the Fermi level is 0.633 states/eV per atom. The value obtained for the formation energy from the elements is -565 meV per atom.